# Sm6Bi2Au

A relaxed structure of Sm6Bi2Au (GGA-PBE, Alexandria via LeMat-Bulk).

Cell lengths 8.7092, 8.7092, 4.1812 Å; angles 90.00, 90.00, 120.00 degrees
Last column: nearest neighbours and their distance in Å.
Space group P-62m (No. 189)
Symmetry-distinct sites (fractional):
Sm: 0.0000 0.2498 0.0000  2 Au 3.02, 2 Bi 3.33
Sm: 0.0000 0.5957 0.5000  4 Bi 3.37, 1 Au 3.52, 6 Sm 3.67-3.72
Bi: 0.3333 0.6667 0.0000  9 Sm 3.33-3.37
Au: 0.0000 0.0000 0.5000  6 Sm 3.02

Output
* electronic total energy: -4.970 eV per atom
* total magnetic moment: 1.2 μB/f.u.